# 1
A relaxed BeRuCl2 crystal, computed with PBE.

Cell and atoms, written as POSCAR:
```
BeRuCl2
1.0
4.8665 -0.0029 -0.0066
-2.5348 4.2054 0.0285
-0.2032 1.3709 3.1313
Cl Be Ru
2 1 1
direct
0.5000 0.0000 0.5000 Cl
0.0000 0.0000 0.0000 Cl
0.5000 0.5000 0.0000 Be
0.0000 0.5000 0.5000 Ru
```

Values from the calculation:
- Polymorph energy (0 for the lowest one): 0.751 eV per atom
- E_form (uncorrected): 0.51 eV/atom

***

# 2
A relaxed Nd6AgRu3 crystal, computed with PBE.

Cell and atoms, written as POSCAR:
```
Nd6AgRu3
1.0
-3.7411 5.4950 -1.5049
-6.1836 -2.4322 6.4908
6.4928 5.4576 3.7871
Ru Nd Ag
6 12 2
direct
0.8789 0.5914 0.4086 Ru
0.4472 0.9657 0.7348 Ru
0.9472 0.7348 0.9657 Ru
0.3789 0.4086 0.5914 Ru
0.9472 0.0343 0.2652 Ru
0.4472 0.2652 0.0343 Ru
0.6587 0.2794 0.3554 Nd
0.6973 0.8821 0.4808 Nd
0.2664 0.9663 0.0337 Nd
0.1292 0.7490 0.2510 Nd
0.6292 0.2510 0.7490 Nd
0.1587 0.7206 0.6446 Nd
0.1973 0.1179 0.5192 Nd
0.6973 0.5192 0.1179 Nd
0.6587 0.6446 0.7206 Nd
0.7664 0.0337 0.9663 Nd
0.1973 0.4808 0.8821 Nd
0.1587 0.3554 0.2794 Nd
0.6046 0.8442 0.1558 Ag
0.1046 0.1558 0.8442 Ag
```

Values from the calculation:
- ΔE_f: -115 meV per atom

***

# 3
A relaxed Cr5Sn3Te12 crystal, computed with PBE.

Cell and atoms, written as POSCAR:
```
Cr5Sn3Te12
1.0
-13.4662 -5.8606 0.9990
9.6539 -8.6738 6.9463
0.0209 13.3379 6.2278
Te Cr Sn
48 20 12
direct
0.6783 0.2038 0.5842 Te
0.0842 0.9059 0.3804 Te
0.6196 0.5941 0.9158 Te
0.9059 0.0842 0.8804 Te
0.9158 0.8217 0.7962 Te
0.2038 0.5255 0.6196 Te
0.5842 0.7038 0.6783 Te
0.5842 0.8804 0.4059 Te
0.9059 0.8217 0.5255 Te
0.4158 0.1196 0.5941 Te
0.4059 0.3804 0.5842 Te
0.3217 0.7962 0.4158 Te
0.2962 0.4158 0.8217 Te
0.8804 0.2962 0.4745 Te
0.7962 0.3217 0.9158 Te
0.0842 0.1783 0.2038 Te
0.9745 0.5941 0.1783 Te
0.7038 0.1196 0.0255 Te
0.6783 0.4745 0.5941 Te
0.9158 0.0941 0.6196 Te
0.3804 0.9745 0.7962 Te
0.6196 0.0255 0.2038 Te
0.8217 0.9059 0.0255 Te
0.4158 0.2962 0.3217 Te
0.5941 0.9745 0.6783 Te
0.8804 0.5842 0.9059 Te
0.4745 0.7962 0.8804 Te
0.2038 0.6783 0.0842 Te
0.7962 0.4745 0.3804 Te
0.0941 0.9158 0.1196 Te
0.4059 0.0255 0.3217 Te
0.4745 0.6783 0.0941 Te
0.2962 0.8804 0.9745 Te
0.5255 0.3217 0.9059 Te
0.1196 0.4158 0.0941 Te
0.0941 0.1783 0.4745 Te
0.7038 0.5842 0.1783 Te
0.5941 0.6196 0.4158 Te
0.9745 0.3804 0.2962 Te
0.1783 0.0941 0.9745 Te
0.1196 0.7038 0.5255 Te
0.1783 0.0842 0.7038 Te
0.8217 0.9158 0.2962 Te
0.3217 0.5255 0.4059 Te
0.3804 0.4059 0.0842 Te
0.0255 0.4059 0.8217 Te
0.0255 0.6196 0.7038 Te
0.5255 0.2038 0.1196 Te
0.0000 0.0000 0.0000 Cr
0.7500 0.1250 0.8750 Cr
0.6250 0.7500 0.8750 Cr
0.1250 0.7500 0.3750 Cr
0.2500 0.8750 0.1250 Cr
0.5000 0.5000 0.0000 Cr
0.3750 0.1250 0.7500 Cr
0.7500 0.6250 0.3750 Cr
0.0000 0.0000 0.5000 Cr
0.3750 0.2500 0.1250 Cr
0.1250 0.3750 0.2500 Cr
0.5000 0.5000 0.5000 Cr
0.5000 0.0000 0.5000 Cr
0.8750 0.6250 0.7500 Cr
0.6250 0.8750 0.2500 Cr
0.0000 0.5000 0.0000 Cr
0.0000 0.5000 0.5000 Cr
0.2500 0.3750 0.6250 Cr
0.8750 0.2500 0.6250 Cr
0.5000 0.0000 0.0000 Cr
0.3750 0.6250 0.2500 Sn
0.6250 0.3750 0.7500 Sn
0.1250 0.2500 0.8750 Sn
0.1250 0.8750 0.7500 Sn
0.7500 0.8750 0.6250 Sn
0.7500 0.3750 0.1250 Sn
0.6250 0.2500 0.3750 Sn
0.2500 0.6250 0.8750 Sn
0.2500 0.1250 0.3750 Sn
0.8750 0.7500 0.1250 Sn
0.8750 0.1250 0.2500 Sn
0.3750 0.7500 0.6250 Sn
```

Values from the calculation:
- E_form (uncorrected): -0.03 eV/atom

***

# 4
A relaxed InP2O crystal, computed with PBE.

Cell and atoms, written as POSCAR:
```
InP2O
1.0
-0.9630 -3.8035 -2.0682
-0.5613 -3.7206 2.3480
-4.0423 -1.7806 0.4011
P O In
2 1 1
direct
0.7500 0.7500 0.7500 P
0.2500 0.2500 0.2500 P
0.0000 0.0000 0.0000 O
0.5000 0.5000 0.5000 In
```

Values from the calculation:
- Polymorph energy (0 for the lowest one): 0.610 eV per atom
- E_form (uncorrected): 0.67 eV/atom

***

# 5
A relaxed Tm2Cd3In crystal, computed with PBE.

Cell and atoms, written as POSCAR:
```
Tm2Cd3In
1.0
-2.3671 -4.7777 2.8208
-2.4656 -3.8382 -3.9466
9.8770 0.2117 -0.1144
Cd Tm In
6 4 2
direct
0.1656 0.1656 0.3312 Cd
0.1657 0.1657 0.8344 Cd
0.6687 0.6687 0.8344 Cd
0.8343 0.8343 0.1656 Cd
0.3313 0.3313 0.1656 Cd
0.8344 0.8344 0.6688 Cd
0.2495 0.7505 0.0000 Tm
0.7500 0.2500 0.5000 Tm
0.7505 0.2495 0.0000 Tm
0.2500 0.7500 0.5000 Tm
0.3336 0.3336 0.6673 In
0.6664 0.6664 0.3327 In
```

Values from the calculation:
- ΔE_f: -323 meV per atom

***

# 6
A relaxed Sm4MgGa2 crystal, computed with PBE.

Cell and atoms, written as POSCAR:
```
Sm4MgGa2
1.0
-1.9434 -0.2387 4.7802
-4.0887 -3.0014 0.9789
3.0343 -7.3864 3.6559
Sm Mg Ga
4 1 2
direct
0.8671 0.8671 0.3987 Sm
0.1329 0.1329 0.6013 Sm
0.3860 0.3860 0.8421 Sm
0.6140 0.6140 0.1579 Sm
0.0000 0.0000 0.0000 Mg
0.7427 0.7427 0.7718 Ga
0.2573 0.2573 0.2282 Ga
```

Values from the calculation:
- ΔE_f: -328 meV per atom
- Polymorph energy (0 for the lowest one): 0.000 eV per atom

***

# 7
A relaxed TlAsSe2 crystal, computed with PBE.

Cell and atoms, written as POSCAR:
```
TlAsSe2
1.0
3.9669 0.0000 0.0000
0.0000 3.0638 -0.0015
0.0000 0.0045 8.2793
Se As Tl
2 1 1
direct
0.0000 0.7506 0.9746 Se
0.0000 0.7494 0.5254 Se
0.5000 0.7500 0.7500 As
0.5000 0.2500 0.2500 Tl
```

Values from the calculation:
- E_form (uncorrected): -0.07 eV/atom

***

# 8
A relaxed Sn3Ge5Au12 crystal, computed with PBE.

Cell and atoms, written as POSCAR:
```
Sn3Ge5Au12
1.0
13.4638 0.0000 0.0000
-4.4879 12.6938 0.0000
-4.4879 -6.3469 10.9931
Au Sn Ge
48 12 20
direct
0.0934 0.1702 0.2227 Au
0.8298 0.9232 0.0525 Au
0.8707 0.5934 0.9232 Au
0.5934 0.7227 0.6702 Au
0.9066 0.0768 0.6293 Au
0.0768 0.1702 0.4475 Au
0.6293 0.0525 0.2227 Au
0.6702 0.2227 0.5934 Au
0.1293 0.4066 0.0768 Au
0.4232 0.0525 0.3298 Au
0.2773 0.4066 0.8298 Au
0.4475 0.6702 0.0768 Au
0.4066 0.1293 0.5768 Au
0.3707 0.9475 0.7773 Au
0.4232 0.3707 0.5934 Au
0.6702 0.4475 0.5768 Au
0.5768 0.9475 0.6702 Au
0.3298 0.5525 0.4232 Au
0.3707 0.4232 0.0934 Au
0.8298 0.9066 0.2773 Au
0.1702 0.0768 0.9475 Au
0.8707 0.2773 0.4475 Au
0.9066 0.8298 0.7773 Au
0.5768 0.6293 0.4066 Au
0.9232 0.0934 0.8707 Au
0.0525 0.4232 0.8298 Au
0.1702 0.0934 0.7227 Au
0.9475 0.5768 0.1702 Au
0.2227 0.6702 0.0934 Au
0.4066 0.2773 0.3298 Au
0.0934 0.9232 0.3707 Au
0.4475 0.7773 0.8707 Au
0.7227 0.5934 0.1702 Au
0.5934 0.8707 0.4232 Au
0.6293 0.5768 0.9066 Au
0.0768 0.9066 0.1293 Au
0.0525 0.6293 0.7227 Au
0.9475 0.3707 0.2773 Au
0.3298 0.7773 0.4066 Au
0.5525 0.2227 0.1293 Au
0.2227 0.5525 0.6293 Au
0.7773 0.3298 0.9066 Au
0.9232 0.8298 0.5525 Au
0.7227 0.1293 0.0525 Au
0.2773 0.8707 0.9475 Au
0.1293 0.7227 0.5525 Au
0.7773 0.4475 0.3707 Au
0.5525 0.3298 0.9232 Au
0.7500 0.8750 0.6250 Sn
0.6250 0.2500 0.3750 Sn
0.2500 0.6250 0.8750 Sn
0.6250 0.3750 0.7500 Sn
0.1250 0.8750 0.7500 Sn
0.3750 0.7500 0.6250 Sn
0.8750 0.1250 0.2500 Sn
0.8750 0.7500 0.1250 Sn
0.1250 0.2500 0.8750 Sn
0.7500 0.3750 0.1250 Sn
0.2500 0.1250 0.3750 Sn
0.3750 0.6250 0.2500 Sn
0.5000 0.0000 0.5000 Ge
0.8750 0.6250 0.7500 Ge
0.0000 0.5000 0.0000 Ge
0.5000 0.5000 0.0000 Ge
0.0000 0.0000 0.5000 Ge
0.5000 0.5000 0.5000 Ge
0.2500 0.8750 0.1250 Ge
0.7500 0.1250 0.8750 Ge
0.1250 0.7500 0.3750 Ge
0.8750 0.2500 0.6250 Ge
0.2500 0.3750 0.6250 Ge
0.6250 0.8750 0.2500 Ge
0.1250 0.3750 0.2500 Ge
0.7500 0.6250 0.3750 Ge
0.0000 0.5000 0.5000 Ge
0.6250 0.7500 0.8750 Ge
0.0000 0.0000 0.0000 Ge
0.5000 0.0000 0.0000 Ge
0.3750 0.2500 0.1250 Ge
0.3750 0.1250 0.7500 Ge
```

Values from the calculation:
- ΔE_f: 85 meV per atom

***

# 9
A relaxed Pr5Mg4Hg crystal, computed with PBE.

Cell and atoms, written as POSCAR:
```
Pr5Mg4Hg
1.0
3.9054 0.0000 0.0000
0.0000 3.9054 0.0000
0.0000 0.0000 19.4681
Pr Mg Hg
5 4 1
direct
0.5000 0.5000 0.7019 Pr
0.5000 0.5000 0.5000 Pr
0.5000 0.5000 0.2981 Pr
0.5000 0.5000 0.0979 Pr
0.5000 0.5000 0.9021 Pr
0.0000 0.0000 0.3999 Mg
0.0000 0.0000 0.8006 Mg
0.0000 0.0000 0.6001 Mg
0.0000 0.0000 0.1994 Mg
0.0000 0.0000 0.0000 Hg
```

Values from the calculation:
- ΔE_f: -184 meV per atom

***

# 10
A relaxed RbPa2I8 crystal, computed with PBE.

Cell and atoms, written as POSCAR:
```
RbPa2I8
1.0
6.2147 -0.0001 -0.0004
-0.0009 9.5526 -5.5130
0.0000 -0.0017 11.0294
Pa I Rb
2 8 1
direct
0.7438 0.6666 0.3333 Pa
0.2562 0.3334 0.6667 Pa
0.7377 0.3562 0.1791 I
0.2424 0.6666 0.3333 I
0.7377 0.8209 0.1771 I
0.2623 0.6438 0.8209 I
0.2623 0.1771 0.3562 I
0.2623 0.1791 0.8229 I
0.7576 0.3334 0.6667 I
0.7377 0.8229 0.6438 I
0.0000 0.0000 0.0000 Rb
```

Values from the calculation:
- Polymorph energy (0 for the lowest one): 0.000 eV per atom
- E_form (uncorrected): -0.88 eV/atom

***

# 11
A relaxed Ho5AgPd2 crystal, computed with PBE.

Cell and atoms, written as POSCAR:
```
Ho5AgPd2
1.0
7.0434 0.0000 -3.3248
-1.5695 6.8663 -3.3248
-0.2538 -0.3184 8.5851
Pd Ho Ag
4 10 2
direct
0.8660 0.6340 0.0000 Pd
0.1340 0.3660 0.0000 Pd
0.3660 0.8660 0.0000 Pd
0.6340 0.1340 0.0000 Pd
0.6982 0.1982 0.7165 Ho
0.0183 0.5183 0.7165 Ho
0.8018 0.9817 0.2835 Ho
0.9817 0.4817 0.2835 Ho
0.3018 0.8018 0.2835 Ho
0.5000 0.5000 0.0000 Ho
0.0000 0.0000 0.0000 Ho
0.1982 0.0183 0.7165 Ho
0.5183 0.6982 0.7165 Ho
0.4817 0.3018 0.2835 Ho
0.7500 0.7500 0.5000 Ag
0.2500 0.2500 0.5000 Ag
```

Values from the calculation:
- ΔE_f: -539 meV per atom

***

# 12
A relaxed P2OsRu crystal, computed with PBE.

Cell and atoms, written as POSCAR:
```
P2OsRu
1.0
2.9600 0.0000 0.0000
0.0000 2.9600 0.0000
0.0000 0.0000 5.9222
P Os Ru
2 1 1
direct
0.0000 0.0000 0.4991 P
0.0000 0.0000 0.0009 P
0.5000 0.5000 0.7500 Os
0.5000 0.5000 0.2500 Ru
```

Values from the calculation:
- ΔE_f: -51 meV per atom
- Polymorph energy (0 for the lowest one): 0.296 eV per atom

***

| no. | energy (eV/atom) | total moment (μB per cell) | volume (Å³/f.u.) |
| --- | --- | --- | --- |
| 1 | -3.659 | 0.5 | 64 |
| 2 | -6.043 | 0.0 | 277 |
| 3 | -4.925 | 47.9 | 614 |
| 4 | -3.955 | 0.0 | 62 |
| 5 | -2.728 | 0.0 | 145 |
| 6 | -4.118 | 0.0 | 191 |
| 7 | -3.562 | 0.0 | 101 |
| 8 | -3.637 | 0.0 | 470 |
| 9 | -3.242 | 0.0 | 297 |
| 10 | -3.826 | 3.0 | 655 |
| 11 | -5.055 | 0.0 | 200 |
| 12 | -7.882 | 0.0 | 52 |